VASP calculation (PBE with a Hubbard U) on an optimized crystal structure of Fe10O11F9.

Calculated values
symmetry = No. 38
distance to the lowest polymorph of the same formula = 368.9 meV/atom
magnetic moment = 4.516 μB/cell

a = 4.659 Å, b = 4.659 Å, c = 14.890 Å
α = 90.00°, β = 90.00°, γ = 96.84°
Element x y z (fractional)
Fe (0.002, 0.998, 0.404)
Fe (0.002, 0.998, 0.596)
Fe (0.002, 0.998, 0.796)
Fe (0.003, 0.997, 0.000)
Fe (0.002, 0.998, 0.204)
Fe (0.477, 0.523, 0.500)
Fe (0.502, 0.498, 0.898)
Fe (0.502, 0.498, 0.697)
Fe (0.502, 0.498, 0.102)
Fe (0.502, 0.498, 0.303)
O (0.172, 0.828, 0.500)
O (0.299, 0.306, 0.401)
O (0.299, 0.306, 0.599)
O (0.303, 0.298, 0.797)
O (0.302, 0.296, 0.000)
O (0.303, 0.298, 0.203)
O (0.694, 0.701, 0.401)
O (0.694, 0.701, 0.599)
O (0.702, 0.697, 0.797)
O (0.704, 0.698, 0.000)
O (0.702, 0.697, 0.203)
F (0.189, 0.811, 0.698)
F (0.186, 0.814, 0.900)
F (0.186, 0.814, 0.100)
F (0.189, 0.811, 0.302)
F (0.809, 0.191, 0.500)
F (0.820, 0.180, 0.900)
F (0.814, 0.186, 0.698)
F (0.814, 0.186, 0.302)
F (0.820, 0.180, 0.100)